*a*
First-principles (PBE) data for a geometry-optimized YPBrO2 structure, as listed in the Alexandria database.

Summary:
Crystal system: tetragonal
Total moment, μB/atom: 0.000
Symmetry: P4/mmm (123)

```
YPBrO2
1.0
4.113 0.000 0.000
0.000 4.113 0.000
0.000 0.000 4.910
Y Br O P
1 1 2 1
direct
0.500 0.500 0.500
0.000 0.000 0.000
0.000 0.500 0.000
0.500 0.000 0.000
0.000 0.000 0.500
```



*b*
First-principles (PBE) data for a geometry-optimized YPBrO2 structure, as listed in the Alexandria database.

Summary:
Crystal system: tetragonal
Total moment, μB/atom: 0.402
Symmetry: P4/mmm (123)

```
YPBrO2
1.0
4.252 0.000 0.000
0.000 4.252 0.000
0.000 0.000 6.296
O Y Br P
2 1 1 1
direct
0.000 0.500 0.000
0.500 0.000 0.000
0.000 0.000 0.000
0.500 0.500 0.500
0.000 0.000 0.500
```



*b* (476 meV per atom below the next structure)



*a*
First-principles (PBE) data for a geometry-optimized ZnPBrO2 structure, as listed in the Alexandria database.

Summary:
Crystal system: tetragonal
Total moment, μB/atom: 0.424
Symmetry: P4/mmm (123)

```
ZnPBrO2
1.0
-0.260 -1.243 -3.563
-0.273 -3.556 1.261
-5.980 0.547 0.246
P Br O Zn
1 1 2 1
direct
0.000 0.000 0.500
0.500 0.500 0.500
0.000 0.500 0.000
0.500 0.000 0.000
0.000 0.000 0.000
```



*b*
First-principles (PBE) data for a geometry-optimized ZnPBrO2 structure, as listed in the Alexandria database.

Summary:
Crystal system: tetragonal
Total moment, μB/atom: 0.000
Symmetry: P4/mmm (123)

```
ZnPBrO2
1.0
3.802 0.000 0.000
0.000 3.802 0.000
0.000 0.000 5.349
Zn P O Br
1 1 2 1
direct
0.500 0.500 0.500
0.000 0.000 0.500
0.500 0.000 0.000
0.000 0.500 0.000
0.000 0.000 0.000
```



*a* (356 meV per atom below the next structure)



*a*
First-principles (PBE) data for a geometry-optimized ZrP2BrO structure, as listed in the Alexandria database.

Summary:
Crystal system: tetragonal
Total moment, μB/atom: 0.227
Symmetry: P4/mmm (123)

```
ZrP2BrO
1.0
-0.726 -4.891 1.842
5.184 -0.437 0.883
-0.509 1.478 3.722
Zr P O Br
1 2 1 1
direct
0.000 0.000 0.000
0.500 0.000 0.000
0.000 0.500 0.000
0.000 0.000 0.500
0.500 0.500 0.500
```



*b*
First-principles (PBE) data for a geometry-optimized ZrP2BrO structure, as listed in the Alexandria database.

Summary:
Crystal system: tetragonal
Total moment, μB/atom: 0.000
Symmetry: P4/mmm (123)

```
ZrP2BrO
1.0
-2.247 0.832 -4.192
1.524 -4.269 -1.664
-3.161 -1.661 1.364
Br Zr P O
1 1 2 1
direct
0.000 0.000 0.000
0.500 0.500 0.500
0.000 0.500 0.000
0.500 0.000 0.000
0.000 0.000 0.500
```



*a* (870 meV per atom below the next structure)



*a*
First-principles (PBE) data for a geometry-optimized ZrPBrO2 structure, as listed in the Alexandria database.

Summary:
Crystal system: tetragonal
Total moment, μB/atom: 0.055
Symmetry: P4/mmm (123)

```
ZrPBrO2
1.0
-2.872 1.441 -2.448
2.191 -1.093 -3.213
-2.638 -5.270 -0.006
Br O P Zr
1 2 1 1
direct
0.500 0.500 0.500
0.500 0.000 0.000
0.000 0.500 0.000
0.000 0.000 0.500
0.000 0.000 0.000
```



*b*
First-principles (PBE) data for a geometry-optimized ZrPBrO2 structure, as listed in the Alexandria database.

Summary:
Crystal system: tetragonal
Total moment, μB/atom: 0.019
Symmetry: P4/mmm (123)

```
ZrPBrO2
1.0
3.976 0.000 0.000
0.000 3.976 0.000
0.000 0.000 5.017
O Br P Zr
2 1 1 1
direct
0.000 0.500 0.000
0.500 0.000 0.000
0.000 0.000 0.000
0.000 0.000 0.500
0.500 0.500 0.500
```



*a* (1387 meV per atom below the next structure)



*a*
First-principles (PBE) data for a geometry-optimized PaBr2O2 structure, as listed in the Alexandria database.

Summary:
Crystal system: monoclinic
Total moment, μB/atom: 0.025
Symmetry: C2/c (15)

```
PaBr2O2
1.0
-3.985 -5.035 0.913
4.042 2.093 6.151
-4.326 3.580 0.861
O Pa Br
4 2 4
direct
0.864 0.833 0.017
0.031 0.167 0.483
0.969 0.833 0.517
0.136 0.167 0.983
0.148 0.000 0.250
0.852 0.000 0.750
0.342 0.739 0.897
0.658 0.261 0.103
0.396 0.739 0.397
0.604 0.261 0.603
```



*b*
First-principles (PBE) data for a geometry-optimized PaBr2O2 structure, as listed in the Alexandria database.

Summary:
Crystal system: trigonal
Total moment, μB/atom: 0.081
Symmetry: P-3m1 (164)

```
PaBr2O2
1.0
-2.270 -2.852 -0.754
1.091 0.635 3.501
-7.634 5.721 1.342
O Br Pa
2 2 1
direct
0.667 0.333 0.938
0.333 0.667 0.062
0.667 0.333 0.296
0.333 0.667 0.704
0.000 0.000 0.000
```



*a* (116 meV per atom below the next structure)



*a*
First-principles (PBE) data for a geometry-optimized Pb3Br2O2 structure, as listed in the Alexandria database.

Summary:
Crystal system: triclinic
Total moment, μB/atom: 0.000
Symmetry: P-1 (2)

```
Pb3Br2O2
1.0
-0.651 3.709 -0.327
-5.540 -2.744 1.772
3.390 1.246 7.477
Br O Pb
2 2 3
direct
0.118 0.235 0.350
0.882 0.765 0.650
0.647 0.294 0.961
0.353 0.706 0.039
0.778 0.556 0.197
0.222 0.444 0.803
0.000 0.000 0.000
```



*b*
First-principles (PBE) data for a geometry-optimized Pb3Br2O2 structure, as listed in the Alexandria database.

Summary:
Crystal system: orthorhombic
Total moment, μB/atom: 0.000
Symmetry: Pnma (62)

```
Pb3Br2O2
1.0
-5.679 -1.766 0.782
0.559 -5.600 -8.579
3.975 -9.831 6.676
Br Pb O
8 12 8
direct
0.250 0.694 0.307
0.750 0.306 0.693
0.750 0.582 0.124
0.250 0.082 0.376
0.750 0.194 0.193
0.250 0.418 0.876
0.250 0.806 0.807
0.750 0.918 0.624
0.750 0.858 0.205
0.250 0.071 0.080
0.250 0.429 0.580
0.750 0.642 0.705
0.250 0.716 0.052
0.750 0.571 0.420
0.750 0.284 0.948
0.750 0.216 0.448
0.250 0.142 0.795
0.250 0.358 0.295
0.750 0.929 0.920
0.250 0.784 0.552
0.004 0.888 0.073
0.504 0.112 0.927
0.004 0.612 0.573
0.996 0.112 0.927
0.496 0.612 0.573
0.496 0.888 0.073
0.996 0.388 0.427
0.504 0.388 0.427
```



*b* (140 meV per atom below the next structure)



*a*
First-principles (PBE) data for a geometry-optimized PbBrO2 structure, as listed in the Alexandria database.

Summary:
Crystal system: trigonal
Total moment, μB/atom: 0.000
Symmetry: R-3m (166)

```
PbBrO2
1.0
4.030 3.700 4.412
4.443 0.335 5.436
6.295 1.590 2.691
O Br Pb
2 1 1
direct
0.875 0.875 0.875
0.125 0.125 0.125
0.500 0.500 0.500
0.000 0.000 0.000
```



*b*
First-principles (PBE) data for a geometry-optimized PbBrO2 structure, as listed in the Alexandria database.

Summary:
Crystal system: cubic
Total moment, μB/atom: 0.750
Symmetry: Fm-3m (225)

```
PbBrO2
1.0
2.266 -2.042 3.415
-0.445 1.543 4.288
-2.281 -2.480 3.100
Pb O Br
1 2 1
direct
0.500 0.500 0.500
0.250 0.250 0.250
0.750 0.750 0.750
0.000 0.000 0.000
```



*c*
First-principles (PBE) data for a geometry-optimized PbBrO2 structure, as listed in the Alexandria database.

Summary:
Crystal system: trigonal
Total moment, μB/atom: 0.000
Symmetry: R-3m (166)

```
PbBrO2
1.0
2.157 0.000 6.273
-1.079 1.868 6.273
-1.079 -1.868 6.273
Br Pb O
1 1 2
direct
0.000 0.000 0.000
0.500 0.500 0.500
0.110 0.110 0.110
0.890 0.890 0.890
```



*d*
First-principles (PBE) data for a geometry-optimized PbBrO2 structure, as listed in the Alexandria database.

Summary:
Crystal system: tetragonal
Total moment, μB/atom: 0.250
Symmetry: I-42d (122)

```
PbBrO2
1.0
6.335 0.000 0.000
0.000 6.335 0.000
3.168 3.168 4.337
O Br Pb
4 2 2
direct
0.875 0.983 0.750
0.733 0.125 0.250
0.375 0.267 0.750
0.017 0.625 0.250
0.500 0.500 0.000
0.250 0.750 0.500
0.750 0.250 0.500
0.000 0.000 0.000
```



*c* (343 meV per atom below the next structure)



*a*
First-principles (PBE) data for a geometry-optimized Pb3BrO3 structure, as listed in the Alexandria database.

Summary:
Crystal system: orthorhombic
Total moment, μB/atom: 0.000
Symmetry: Pmc2_1 (26)

```
Pb3BrO3
1.0
6.015 0.000 0.000
0.000 6.888 0.000
0.000 0.000 16.410
Pb O Br
12 12 4
direct
0.500 0.858 0.084
0.500 0.427 0.945
0.000 0.246 0.389
0.500 0.573 0.445
0.500 0.142 0.584
0.000 0.754 0.889
0.500 0.608 0.695
0.000 0.551 0.083
0.000 0.214 0.775
0.000 0.786 0.275
0.500 0.392 0.195
0.000 0.449 0.583
0.244 0.652 0.171
0.500 0.693 0.567
0.500 0.307 0.067
0.760 0.673 0.998
0.760 0.327 0.498
0.000 0.554 0.364
0.000 0.446 0.864
0.240 0.327 0.498
0.756 0.348 0.671
0.240 0.673 0.998
0.756 0.652 0.171
0.244 0.348 0.671
0.500 0.000 0.841
0.500 0.000 0.341
0.000 0.831 0.634
0.000 0.169 0.134
```



*b*
First-principles (PBE) data for a geometry-optimized Pb3BrO3 structure, as listed in the Alexandria database.

Summary:
Crystal system: trigonal
Total moment, μB/atom: 0.083
Symmetry: R-3 (148)

```
Pb3BrO3
1.0
-1.997 6.698 0.784
-6.541 1.942 -1.704
-5.227 1.310 7.045
Pb O Br
6 6 2
direct
0.233 0.559 0.313
0.104 0.767 0.687
0.441 0.104 0.687
0.767 0.441 0.687
0.559 0.896 0.313
0.896 0.233 0.313
0.528 0.211 0.389
0.127 0.472 0.611
0.211 0.873 0.389
0.873 0.528 0.389
0.789 0.127 0.611
0.472 0.789 0.611
0.333 0.333 0.000
0.667 0.667 0.000
```



*a* (8 meV per atom below the next structure)



*a*
First-principles (PBE) data for a geometry-optimized PbBr2O6 structure, as listed in the Alexandria database.

Summary:
Crystal system: orthorhombic
Total moment, μB/atom: 0.000
Symmetry: Pbcn (60)

```
PbBr2O6
1.0
-0.096 5.320 -3.171
-4.590 2.092 3.648
10.398 5.952 9.670
O Pb Br
24 4 8
direct
0.092 0.088 0.910
0.606 0.899 0.917
0.106 0.601 0.417
0.628 0.859 0.223
0.908 0.588 0.910
0.592 0.412 0.410
0.592 0.088 0.590
0.394 0.101 0.083
0.128 0.641 0.723
0.872 0.359 0.277
0.394 0.399 0.917
0.128 0.859 0.277
0.408 0.912 0.410
0.092 0.412 0.090
0.872 0.141 0.723
0.408 0.588 0.590
0.894 0.399 0.583
0.628 0.641 0.777
0.372 0.141 0.777
0.908 0.912 0.090
0.894 0.101 0.417
0.106 0.899 0.583
0.372 0.359 0.223
0.606 0.601 0.083
0.271 0.750 0.000
0.229 0.250 0.500
0.771 0.750 0.500
0.729 0.250 0.000
0.281 0.724 0.345
0.781 0.724 0.155
0.719 0.276 0.655
0.781 0.776 0.845
0.219 0.276 0.845
0.719 0.224 0.345
0.219 0.224 0.155
0.281 0.776 0.655
```



*b*
First-principles (PBE) data for a geometry-optimized PbBr2O6 structure, as listed in the Alexandria database.

Summary:
Crystal system: monoclinic
Total moment, μB/atom: 0.000
Symmetry: C2/c (15)

```
PbBr2O6
1.0
7.367 0.007 -0.038
3.044 6.708 -0.038
4.477 2.888 6.402
Br O Pb
4 12 2
direct
0.704 0.681 0.809
0.319 0.296 0.691
0.296 0.319 0.191
0.681 0.704 0.309
0.430 0.763 0.914
0.193 0.086 0.347
0.778 0.581 0.008
0.570 0.237 0.086
0.086 0.193 0.847
0.914 0.807 0.153
0.763 0.430 0.414
0.237 0.570 0.586
0.581 0.778 0.508
0.222 0.419 0.992
0.419 0.222 0.492
0.807 0.914 0.653
0.830 0.170 0.250
0.170 0.830 0.750
```



*b* (14 meV per atom below the next structure)